1.
# Ti2IrPd (PBE, relaxed)
data_Ti2IrPd
_symmetry_space_group_name_H-M 'I m m m'
_symmetry_Int_Tables_number 71
_symmetry_space_group_name_Hall '-I 2 2'
_cell_length_a 2.7981
_cell_length_b 4.8196
_cell_length_c 9.7991
_cell_angle_alpha 90.00
_cell_angle_beta 90.00
_cell_angle_gamma 90.00
loop_
_atom_site_label
_atom_site_fract_x
_atom_site_fract_y
_atom_site_fract_z
_atom_site_occupancy
Ti1 0.0000 0.0000 0.2466 1
Ir1 0.0000 0.0000 0.0000 1
Pd1 0.0000 0.0000 0.5000 1
# DOS(E_F) = 0.883 states/eV/atom
# calculated total energy = -7.383 eV/atom
# ΔE_f = 0.08 eV per atom

=====

2.
# TiIrPd (PBE, relaxed)
data_TiIrPd
_symmetry_space_group_name_H-M 'I 4 m m'
_symmetry_Int_Tables_number 107
_symmetry_space_group_name_Hall 'I 4 -2'
_cell_length_a 2.8998
_cell_length_b 2.8998
_cell_length_c 11.0105
_cell_angle_alpha 90.00
_cell_angle_beta 90.00
_cell_angle_gamma 90.00
loop_
_atom_site_label
_atom_site_fract_x
_atom_site_fract_y
_atom_site_fract_z
_atom_site_occupancy
Ti1 0.0000 0.0000 0.0000 1
Ir1 0.0000 0.0000 0.3567 1
Pd1 0.0000 0.0000 0.6685 1
# DOS(E_F) = 0.728 states/eV/atom
# energy above the lowest structure with this stoichiometry = 129 meV per atom
# calculated total energy = -7.835 eV/atom
# ΔE_f = -0.52 eV per atom

=====

3.
# Ti4IrPd (PBE, relaxed)
data_Ti4IrPd
_symmetry_space_group_name_H-M 'P 4/m m m'
_symmetry_Int_Tables_number 123
_symmetry_space_group_name_Hall '-P 4 2'
_cell_length_a 4.2964
_cell_length_b 4.2964
_cell_length_c 6.0886
_cell_angle_alpha 90.00
_cell_angle_beta 90.00
_cell_angle_gamma 90.00
loop_
_atom_site_label
_atom_site_fract_x
_atom_site_fract_y
_atom_site_fract_z
_atom_site_occupancy
Ti1 0.0000 0.5000 0.2431 1
Ir1 0.0000 0.0000 0.0000 1
Pd1 0.5000 0.5000 0.5000 1
# DOS(E_F) = 1.127 states/eV/atom
# energy above the lowest structure with this stoichiometry = 337 meV per atom
# calculated total energy = -7.839 eV/atom
# ΔE_f = -0.23 eV per atom

=====

4.
# TiIr2Pd (PBE, relaxed)
data_TiIr2Pd
_symmetry_space_group_name_H-M 'F m -3 m'
_symmetry_Int_Tables_number 225
_symmetry_space_group_name_Hall '-F 4 2 3'
_cell_length_a 6.2253
_cell_length_b 6.2253
_cell_length_c 6.2253
_cell_angle_alpha 90.00
_cell_angle_beta 90.00
_cell_angle_gamma 90.00
loop_
_atom_site_label
_atom_site_fract_x
_atom_site_fract_y
_atom_site_fract_z
_atom_site_occupancy
Ti1 0.0000 0.0000 0.0000 1
Ir1 0.2500 0.2500 0.2500 1
Pd1 0.0000 0.0000 0.5000 1
# DOS(E_F) = 1.841 states/eV/atom
# calculated total energy = -7.970 eV/atom
# ΔE_f = -0.27 eV per atom

=====

5.
# Ti7IrPd2 (PBE, relaxed)
data_Ti7IrPd2
_symmetry_space_group_name_H-M 'F m -3 m'
_symmetry_Int_Tables_number 225
_symmetry_space_group_name_Hall '-F 4 2 3'
_cell_length_a 9.2761
_cell_length_b 9.2761
_cell_length_c 9.2761
_cell_angle_alpha 90.00
_cell_angle_beta 90.00
_cell_angle_gamma 90.00
loop_
_atom_site_label
_atom_site_fract_x
_atom_site_fract_y
_atom_site_fract_z
_atom_site_occupancy
Ti1 0.0000 0.0000 0.0000 1
Ti2 0.0000 0.0000 0.2456 1
Ir1 0.0000 0.0000 0.5000 1
Pd1 0.2500 0.2500 0.2500 1
# DOS(E_F) = 1.999 states/eV/atom
# calculated total energy = -6.849 eV/atom
# ΔE_f = 0.60 eV per atom

=====

6.
# Ti2IrPd5 (PBE, relaxed)
data_Ti2IrPd5
_symmetry_space_group_name_H-M 'P b a m'
_symmetry_Int_Tables_number 55
_symmetry_space_group_name_Hall '-P 2 2ab'
_cell_length_a 5.5604
_cell_length_b 11.1247
_cell_length_c 3.8925
_cell_angle_alpha 90.00
_cell_angle_beta 90.00
_cell_angle_gamma 90.00
loop_
_atom_site_label
_atom_site_fract_x
_atom_site_fract_y
_atom_site_fract_z
_atom_site_occupancy
Ti1 0.2339 0.1193 0.0000 1
Ir1 0.0000 0.0000 0.5000 1
Pd1 0.0000 0.5000 0.5000 1
Pd2 0.0070 0.7499 0.5000 1
Pd3 0.2472 0.3748 0.0000 1
# DOS(E_F) = 0.430 states/eV/atom
# calculated total energy = -6.952 eV/atom
# ΔE_f = -0.63 eV per atom

=====

7.
# TiIr2Pd (PBE, relaxed)
data_TiIr2Pd
_symmetry_space_group_name_H-M 'I -4 2 d'
_symmetry_Int_Tables_number 122
_symmetry_space_group_name_Hall 'I -4 2bw'
_cell_length_a 3.8100
_cell_length_b 3.8100
_cell_length_c 17.9847
_cell_angle_alpha 90.00
_cell_angle_beta 90.00
_cell_angle_gamma 90.00
loop_
_atom_site_label
_atom_site_fract_x
_atom_site_fract_y
_atom_site_fract_z
_atom_site_occupancy
Ti1 0.0000 0.0000 0.0000 1
Ir1 0.2411 0.2500 0.6250 1
Pd1 0.0000 0.0000 0.5000 1
# DOS(E_F) = 0.912 states/eV/atom
# calculated total energy = -7.719 eV/atom
# ΔE_f = -0.02 eV per atom

=====

8.
# Ti5IrPd4 (PBE, relaxed)
data_Ti5IrPd4
_symmetry_space_group_name_H-M 'P 4/m m m'
_symmetry_Int_Tables_number 123
_symmetry_space_group_name_Hall '-P 4 2'
_cell_length_a 2.8765
_cell_length_b 2.8765
_cell_length_c 18.8401
_cell_angle_alpha 90.00
_cell_angle_beta 90.00
_cell_angle_gamma 90.00
loop_
_atom_site_label
_atom_site_fract_x
_atom_site_fract_y
_atom_site_fract_z
_atom_site_occupancy
Ti1 0.0000 0.0000 0.0000 1
Ti2 0.0000 0.0000 0.2018 1
Ti3 0.0000 0.0000 0.4064 1
Ir1 0.5000 0.5000 0.5000 1
Pd1 0.5000 0.5000 0.1016 1
Pd2 0.5000 0.5000 0.3031 1
# DOS(E_F) = 1.304 states/eV/atom
# calculated total energy = -7.500 eV/atom
# ΔE_f = -0.59 eV per atom

=====

9.
# TiIrPd2 (PBE, relaxed)
data_TiIrPd2
_symmetry_space_group_name_H-M 'I -4 2 d'
_symmetry_Int_Tables_number 122
_symmetry_space_group_name_Hall 'I -4 2bw'
_cell_length_a 3.7492
_cell_length_b 3.7492
_cell_length_c 18.5637
_cell_angle_alpha 90.00
_cell_angle_beta 90.00
_cell_angle_gamma 90.00
loop_
_atom_site_label
_atom_site_fract_x
_atom_site_fract_y
_atom_site_fract_z
_atom_site_occupancy
Ti1 0.0000 0.0000 0.0000 1
Ir1 0.0000 0.0000 0.5000 1
Pd1 0.2488 0.2500 0.6250 1
# DOS(E_F) = 0.991 states/eV/atom
# calculated total energy = -6.942 eV/atom
# ΔE_f = -0.16 eV per atom

=====

10.
# Ti3IrPd3 (PBE, relaxed)
data_Ti3IrPd3
_symmetry_space_group_name_H-M 'C 1 2/m 1'
_symmetry_Int_Tables_number 12
_symmetry_space_group_name_Hall '-C 2y'
_cell_length_a 6.2658
_cell_length_b 8.1908
_cell_length_c 8.8519
_cell_angle_alpha 90.00
_cell_angle_beta 94.00
_cell_angle_gamma 90.00
loop_
_atom_site_label
_atom_site_fract_x
_atom_site_fract_y
_atom_site_fract_z
_atom_site_occupancy
Ti1 0.1726 0.1962 0.2731 1
Ti2 0.2290 0.0000 0.9607 1
Ir1 0.0297 0.5000 0.7757 1
Pd1 0.0000 0.2538 0.0000 1
Pd2 0.0000 0.3261 0.5000 1
Pd3 0.1346 0.0000 0.6273 1
# DOS(E_F) = 0.594 states/eV/atom
# calculated total energy = -7.429 eV/atom
# ΔE_f = -0.55 eV per atom

=====

11.
# Ti6IrPd2 (PBE, relaxed)
data_Ti6IrPd2
_symmetry_space_group_name_H-M 'C 1 2/m 1'
_symmetry_Int_Tables_number 12
_symmetry_space_group_name_Hall '-C 2y'
_cell_length_a 13.6193
_cell_length_b 6.0745
_cell_length_c 4.3144
_cell_angle_alpha 90.00
_cell_angle_beta 108.37
_cell_angle_gamma 90.00
loop_
_atom_site_label
_atom_site_fract_x
_atom_site_fract_y
_atom_site_fract_z
_atom_site_occupancy
Ti1 0.0000 0.2434 0.0000 1
Ti2 0.1632 0.2469 0.6632 1
Ir1 0.0000 0.0000 0.5000 1
Pd1 0.1679 0.5000 0.1677 1
# DOS(E_F) = 1.230 states/eV/atom
# calculated total energy = -7.553 eV/atom
# ΔE_f = -0.15 eV per atom

=====

12.
# Ti2IrPd (PBE, relaxed)
data_Ti2IrPd
_symmetry_space_group_name_H-M 'P 4/m m m'
_symmetry_Int_Tables_number 123
_symmetry_space_group_name_Hall '-P 4 2'
_cell_length_a 2.8928
_cell_length_b 2.8928
_cell_length_c 7.3737
_cell_angle_alpha 90.00
_cell_angle_beta 90.00
_cell_angle_gamma 90.00
loop_
_atom_site_label
_atom_site_fract_x
_atom_site_fract_y
_atom_site_fract_z
_atom_site_occupancy
Ti1 0.0000 0.0000 0.2377 1
Ir1 0.5000 0.5000 0.0000 1
Pd1 0.5000 0.5000 0.5000 1
# DOS(E_F) = 0.987 states/eV/atom
# calculated total energy = -8.171 eV/atom
# ΔE_f = -0.71 eV per atom

=====

What is the calculated total energy in the seventh record? -7.719 eV/atom

=====

Among the records above, which one has the highest calculated total energy? Ti7IrPd2

=====

Which formula does entry 11 have? Ti6IrPd2